No. 1
Density functional theory data (GGA-PBE) for crystalline Rb3Sm2PuO6 at its relaxed geometry.

```
12
Lattice="6.261 -0.001 0.000 -3.130 5.423 0.000 -1.044 -1.808 6.586" Properties=species:S:1:pos:R:3 pbc="T T T"
Rb -2.083 3.613 3.293
Rb 4.170 0.001 3.293
Rb 1.044 1.807 3.293
Sm 0.001 3.615 0.000
Sm 3.131 1.807 0.000
Pu 0.000 0.000 0.000
O 3.125 1.815 5.411
O 2.093 3.623 1.176
O -1.038 1.799 1.175
O 0.010 3.614 5.411
O -0.006 -0.010 5.410
O 2.077 0.000 1.175
```

Results
Formation energy without anion corrections (eV per formula unit): -29.922
Total energy (eV per cell): -86.3
Fermi-level density of states (states/eV/f.u.): 7.2

---

No. 2
Density functional theory data (GGA-PBE) for crystalline LaSmDy2Hg4 at its relaxed geometry.

```
8
Lattice="-3.196 3.859 -1.892 -1.079 0.254 -5.240 -8.399 -3.824 -1.193" Properties=species:S:1:pos:R:3 pbc="T T T"
La 0.000 0.000 0.000
Sm -6.337 0.144 -4.163
Dy -9.491 0.227 -6.246
Dy -3.182 0.062 -2.079
Hg -8.900 -1.765 -3.727
Hg -6.925 2.138 -6.682
Hg -5.748 -1.849 -1.643
Hg -3.773 2.054 -4.598
```

Results
Total energy (eV per cell): -23.8
Energy of formation (eV/atom): -0.471
Fermi-level density of states (states/eV/f.u.): 9.1